[1]
{
  "formula": "Mg2ScAg",
  "functional": "SCAN",
  "state": "single point on PBEsol structure",
  "cell": [[3.092, 0.000, -0.005], [0.000, 4.815, 0.000], [-0.994, 0.000, 5.507]],
  "species": ["Mg", "Mg", "Ag", "Sc"],
  "frac_coords": [[0.160, 0.000, 0.262], [0.840, 0.000, 0.738], [0.000, 0.500, 0.500], [0.500, 0.500, 0.000]],
  "delta_e_f_mev_per_atom": -93
}

=====

[2]
{
  "formula": "Sb2TeCl",
  "functional": "SCAN",
  "state": "single point on PBEsol structure",
  "cell": [[3.250, 0.000, 0.000], [0.000, 5.471, 0.000], [0.000, 0.000, 7.391]],
  "species": ["Sb", "Sb", "Te", "Cl"],
  "frac_coords": [[0.000, 0.000, 0.099], [0.500, 0.500, 0.128], [0.000, 0.000, 0.469], [0.500, 0.500, 0.804]],
  "polymorph_energy_mev_per_atom": 0
}

=====

[3]
{
  "formula": "Sc2Si4Mo3",
  "functional": "SCAN",
  "state": "single point on PBEsol structure",
  "cell": [[-4.236, -3.642, -3.329], [-1.625, -3.268, 5.644], [-9.034, 8.426, 2.278]],
  "species": ["Si", "Si", "Si", "Si", "Si", "Si", "Si", "Si", "Si", "Si", "Si", "Si", "Si", "Si", "Si", "Si", "Mo", "Mo", "Mo", "Mo", "Mo", "Mo", "Mo", "Mo", "Mo", "Mo", "Mo", "Mo", "Sc", "Sc", "Sc", "Sc", "Sc", "Sc", "Sc", "Sc"],
  "frac_coords": [[0.666, 0.038, 0.045], [0.334, 0.962, 0.955], [0.834, 0.538, 0.545], [0.700, 0.142, 0.750], [0.032, 0.123, 0.250], [0.166, 0.462, 0.045], [0.468, 0.623, 0.750], [0.166, 0.462, 0.455], [0.200, 0.358, 0.750], [0.834, 0.538, 0.955], [0.334, 0.962, 0.545], [0.968, 0.877, 0.750], [0.532, 0.377, 0.250], [0.800, 0.642, 0.250], [0.300, 0.858, 0.250], [0.666, 0.038, 0.455], [0.336, 0.004, 0.750], [0.329, 0.165, 0.376], [0.829, 0.335, 0.376], [0.836, 0.496, 0.750], [0.671, 0.835, 0.876], [0.329, 0.165, 0.124], [0.829, 0.335, 0.124], [0.171, 0.665, 0.624], [0.671, 0.835, 0.624], [0.664, 0.996, 0.250], [0.171, 0.665, 0.876], [0.164, 0.504, 0.250], [0.004, 0.830, 0.092], [0.496, 0.330, 0.592], [0.504, 0.670, 0.408], [0.496, 0.330, 0.908], [0.996, 0.170, 0.592], [0.004, 0.830, 0.408], [0.996, 0.170, 0.908], [0.504, 0.670, 0.092]],
  "final_energy_ev_per_atom": -19.96
}

=====

[4]
{
  "formula": "BeTcOs2Au",
  "functional": "SCAN",
  "state": "single point on PBEsol structure",
  "cell": [[-4.011, -0.740, 0.548], [0.883, -2.369, 3.261], [-0.271, 3.296, 2.467]],
  "species": ["Os", "Os", "Be", "Au", "Tc"],
  "frac_coords": [[0.000, 0.500, 0.000], [0.000, 0.000, 0.500], [0.000, 0.000, 0.000], [0.500, 0.000, 0.000], [0.500, 0.500, 0.500]],
  "delta_e_f_mev_per_atom": 870
}

=====

[5]
{
  "formula": "LiP2SCl",
  "functional": "SCAN",
  "state": "single point on PBEsol structure",
  "cell": [[4.122, 0.000, 0.000], [0.000, 4.497, 0.000], [0.000, 0.000, 4.497]],
  "species": ["P", "P", "S", "Cl", "Li"],
  "frac_coords": [[0.000, 0.500, 0.000], [0.000, 0.000, 0.500], [0.500, 0.000, 0.000], [0.500, 0.500, 0.500], [0.000, 0.000, 0.000]],
  "polymorph_energy_mev_per_atom": 564
}

=====

[6]
{
  "formula": "CaTa2Fe",
  "functional": "SCAN",
  "state": "single point on PBEsol structure",
  "cell": [[2.899, 0.000, 0.000], [0.000, 2.900, 0.000], [0.000, 0.000, 8.791]],
  "species": ["Fe", "Ca", "Ta", "Ta"],
  "frac_coords": [[0.500, 0.500, 0.500], [0.500, 0.500, 0.000], [0.000, 0.000, 0.681], [0.000, 0.000, 0.319]],
  "delta_e_f_mev_per_atom": 433,
  "polymorph_energy_mev_per_atom": 0
}

=====

[7]
{
  "formula": "BePb",
  "functional": "SCAN",
  "state": "single point on PBEsol structure",
  "cell": [[3.957, 0.000, 0.000], [0.000, 3.961, 0.000], [0.000, 1.981, 4.852]],
  "species": ["Be", "Be", "Pb", "Pb"],
  "frac_coords": [[0.250, 0.554, 0.893], [0.750, 0.446, 0.107], [0.250, 0.854, 0.292], [0.750, 0.146, 0.708]],
  "delta_e_f_mev_per_atom": 443
}

=====

[8]
{
  "formula": "TaIn4Se",
  "functional": "SCAN",
  "state": "single point on PBEsol structure",
  "cell": [[-4.617, 3.330, -0.388], [-5.130, -2.060, 1.412], [-2.604, 1.829, 4.736]],
  "species": ["Ta", "In", "In", "In", "In", "Se"],
  "frac_coords": [[0.000, 0.000, 0.000], [0.375, 0.876, 0.375], [0.375, 0.375, 0.876], [0.375, 0.375, 0.375], [0.876, 0.375, 0.375], [0.750, 0.750, 0.750]],
  "final_energy_ev_per_atom": -36.10
}